Record 1
Na2Cr2In, relaxed, DFT GGA-PBE; mass density = 4.03 g cm⁻³; offset from the most stable computed form = 0 meV/atom
1.0
3.151 0.000 0.000
0.000 3.151 0.000
0.000 0.000 21.997
Na Cr In
4 4 2
Direct
0.000 0.000 0.121
0.000 0.000 0.879
0.500 0.500 0.379
0.500 0.500 0.621
0.000 0.500 0.250
0.000 0.500 0.750
0.500 0.000 0.250
0.500 0.000 0.750
0.000 0.000 0.500
0.500 0.500 0.000

Record 2
CeErSnHg, relaxed, DFT GGA-PBE; total energy = -0.308 Ry/atom; mass density = 9.64 g cm⁻³
1.0
7.558 0.000 0.000
0.000 7.558 0.000
0.000 0.000 7.558
Ce Er Sn Hg
4 4 4 4
Direct
0.000 0.000 0.000
0.000 0.500 0.500
0.500 0.000 0.500
0.500 0.500 0.000
0.000 0.000 0.500
0.000 0.500 0.000
0.500 0.000 0.000
0.500 0.500 0.500
0.250 0.250 0.250
0.250 0.750 0.750
0.750 0.250 0.750
0.750 0.750 0.250
0.250 0.250 0.750
0.250 0.750 0.250
0.750 0.250 0.250
0.750 0.750 0.750

Record 3
La3HoTh2Se6, relaxed, DFT GGA-PBE; total energy = -0.469 Ry/atom; mass density = 7.84 g cm⁻³
1.0
3.676 -6.334 0.000
3.676 6.334 0.000
-2.433 0.000 6.913
La Ho Th Se
3 1 2 6
Direct
0.000 0.000 0.000
0.330 0.670 0.000
0.670 0.330 0.000
0.500 0.500 0.500
0.166 0.834 0.500
0.834 0.166 0.500
0.096 0.421 0.262
0.257 0.257 0.742
0.421 0.096 0.262
0.579 0.904 0.738
0.743 0.743 0.258
0.904 0.579 0.738

Record 4
LaIn2Ag4, relaxed, DFT GGA-PBE; mass density = 6.45 g cm⁻³; offset from the most stable computed form = 428 meV/atom
1.0
8.361 0.000 0.000
0.000 8.361 0.000
0.000 0.000 5.895
La In Ag
2 4 8
Direct
0.000 0.000 0.000
0.500 0.500 0.500
0.000 0.500 0.250
0.000 0.500 0.750
0.500 0.000 0.250
0.500 0.000 0.750
0.000 0.225 0.500
0.000 0.775 0.500
0.225 0.000 0.500
0.275 0.500 0.000
0.500 0.275 0.000
0.500 0.725 0.000
0.725 0.500 0.000
0.775 0.000 0.500

Record 5
SrRu, relaxed, DFT GGA-PBE; total energy = -0.392 Ry/atom; mass density = 4.83 g cm⁻³
1.0
4.202 0.000 0.000
-2.101 3.639 0.000
0.000 0.000 25.462
Sr Ru
6 6
Direct
0.000 0.000 0.088
0.000 0.000 0.912
0.333 0.667 0.578
0.333 0.667 0.755
0.667 0.333 0.245
0.667 0.333 0.422
0.000 0.000 0.333
0.000 0.000 0.667
0.333 0.667 0.000
0.333 0.667 0.333
0.667 0.333 0.000
0.667 0.333 0.667

Record 6
CaAc2Sm6, relaxed, DFT GGA-PBE; total energy = -0.310 Ry/atom; mass density = 7.01 g cm⁻³
1.0
6.431 0.000 0.000
2.180 8.125 0.000
2.153 1.111 12.667
Ca Ac Sm
2 4 12
Direct
0.168 0.333 0.418
0.832 0.667 0.582
0.064 0.783 0.802
0.166 0.332 0.912
0.834 0.668 0.088
0.936 0.217 0.198
0.057 0.785 0.307
0.280 0.891 0.524
0.282 0.888 0.028
0.391 0.448 0.138
0.402 0.437 0.637
0.499 0.008 0.747
0.501 0.992 0.253
0.598 0.563 0.363
0.609 0.552 0.862
0.718 0.112 0.972
0.720 0.109 0.476
0.943 0.215 0.693

Record 7
YAlMo2, relaxed, DFT GGA-PBE; total energy = -0.565 Ry/atom; mass density = 6.81 g cm⁻³
1.0
2.961 0.000 0.000
0.000 4.839 0.000
-0.631 0.000 5.235
Y Al Mo
1 1 2
Direct
0.000 0.000 0.000
0.500 0.000 0.500
0.318 0.500 0.764
0.682 0.500 0.236

Record 8
Tb3Co2B9, relaxed, DFT GGA-PBE; total energy = -0.482 Ry/atom; mass density = 7.21 g cm⁻³
1.0
-1.567 3.787 6.711
1.567 -3.787 6.711
1.567 3.787 -6.711
Tb Co B
3 2 9
Direct
0.000 0.000 0.000
0.264 0.264 0.000
0.736 0.736 0.000
0.338 0.500 0.838
0.662 0.500 0.162
0.068 0.371 0.697
0.148 0.879 0.269
0.325 0.629 0.697
0.390 0.121 0.269
0.500 0.000 0.500
0.610 0.879 0.731
0.675 0.371 0.303
0.852 0.121 0.731
0.932 0.629 0.303

Record 9
Nd4HoCd, relaxed, DFT GGA-PBE; mass density = 7.30 g cm⁻³; offset from the most stable computed form = 0 meV/atom
1.0
3.684 0.000 0.000
0.000 3.684 0.000
0.000 0.000 14.313
Nd Ho Cd
4 1 1
Direct
0.000 0.000 0.147
0.000 0.000 0.853
0.500 0.500 0.326
0.500 0.500 0.674
0.000 0.000 0.500
0.500 0.500 0.000

Record 10
Li2YZn2Si2, relaxed, DFT GGA-PBE; total energy = -0.282 Ry/atom; mass density = 4.09 g cm⁻³
1.0
2.079 1.200 7.860
-2.079 1.200 7.860
0.000 -2.400 7.860
Li Y Zn Si
2 1 2 2
Direct
0.142 0.142 0.142
0.858 0.858 0.858
0.000 0.000 0.000
0.427 0.427 0.427
0.573 0.573 0.573
0.256 0.256 0.256
0.744 0.744 0.744

Question: What is the formula in the third record?
Answer: La3HoTh2Se6

Question: What is the formula in the eighth record?
Answer: Tb3Co2B9

Question: Among the records above, which one has the highest mass density?
Answer: CeErSnHg